## GdMnAs2 (PBE)

Data for a relaxed GdMnAs2 crystal.

```
data_GdMnAs2
_symmetry_space_group_name_H-M 'R -3 m'
_symmetry_Int_Tables_number 166
_symmetry_space_group_name_Hall '-R 3 2"'
_cell_length_a 3.9361
_cell_length_b 3.9361
_cell_length_c 17.9147
_cell_angle_alpha 90.00
_cell_angle_beta 90.00
_cell_angle_gamma 120.00
loop_
_atom_site_label
_atom_site_type_symbol
_atom_site_fract_x
_atom_site_fract_y
_atom_site_fract_z
_atom_site_occupancy
Gd1 Gd 0.0000 0.0000 0.0000 1
Mn1 Mn 0.0000 0.0000 0.5000 1
As1 As 0.0000 0.0000 0.2336 1
```

Computed properties:
Spin magnetization ... 4.22 μB/f.u.
Energy relative to the elements ... -2.87 eV/f.u.